A plane-wave DFT calculation with PBE-GGA was carried out for an optimized crystal structure of Th2ZnSe.

POSCAR file:
```
Th2ZnSe
1.0
3.553 0.000 0.000
0.000 3.553 0.000
0.000 0.000 7.818
Zn Se Th
1 1 2
Direct
0.500 0.500 0.500 Zn
0.500 0.500 0.000 Se
0.000 0.000 0.751 Th
0.000 0.000 0.249 Th
```

Properties
The space group is P4/mmm (123). For the energy relative to the elements, uncorrected, the calculation gives -0.722 eV/atom. The calculation puts the uncorrected energy at -22.49 eV per cell. The calculation puts the mass density at 10.237 g/cm³.